Density functional theory data (PBE-GGA) for a relaxed structure of Tl2NiBi.

Output
Theoretical density in Mg/m³: 11.2
VASP energy in eV/atom: -3.209

Cell lengths 5.210, 5.210, 5.210 Å; angles 60.00, 60.00, 60.00 degrees
Element x y z (fractional)
Bi 0.250 0.250 0.250
Ni 0.000 0.000 0.000
Tl 0.500 0.500 0.500
Tl 0.750 0.750 0.750